# TbNi2Au PBE relaxed
# Theoretical density in g/cm3: 12.02
# Magnetization in μB/f.u.: 0.00
# E_form in meV/atom: -338
# Electronic total energy in eV per cell: -83.28
data_TbNi2Au
_space_group_name_H-M_alt 'F m -3 m'
_space_group_IT_number 225
_space_group_name_Hall '-F 4 2 3'
_cell_length_a 6.394
_cell_length_b 6.394
_cell_length_c 6.394
_cell_angle_alpha 90.00
_cell_angle_beta 90.00
_cell_angle_gamma 90.00
loop_
_atom_site_label
_atom_site_type_symbol
_atom_site_fract_x
_atom_site_fract_y
_atom_site_fract_z
Tb1 Tb 0.000 0.000 0.000
Ni1 Ni 0.250 0.250 0.250
Au1 Au 0.000 0.000 0.500